Record 1
{
  "formula": "Cs2PmSi2Au7",
  "functional": "PBE",
  "state": "optimized geometry",
  "raw_formation_energy_ev_per_atom": -0.3581,
  "sg": "C2/m",
  "final_energy_ev_per_cell": -44.5,
  "cell": [[-1.6269, -4.4970, 0.2191], [4.0337, -1.5257, -2.0783], [5.5134, -1.1157, 12.1414]],
  "species": ["Cs", "Cs", "Pm", "Si", "Si", "Au", "Au", "Au", "Au", "Au", "Au", "Au"],
  "fractional_positions": [[0.9841, 0.9841, 0.3616], [0.0159, 0.0159, 0.6384], [0.0000, 0.0000, 0.0000], [0.5503, 0.5503, 0.7891], [0.4497, 0.4497, 0.2109], [0.5000, 0.5000, 0.0000], [0.4857, 0.4857, 0.3983], [0.5143, 0.5143, 0.6017], [0.9597, 0.5065, 0.1476], [0.5065, 0.9597, 0.1476], [0.4935, 0.0403, 0.8524], [0.0403, 0.4935, 0.8524]]
}

***

Record 2
{
  "formula": "LaPr2Nd5Mg",
  "functional": "PBE",
  "state": "optimized geometry",
  "sg": "Cmc2_1",
  "formation_enthalpy_0k_ev_per_atom": 0.08,
  "final_energy_ev_per_cell": -78.4,
  "cell": [[5.6553, 0.0000, 0.0000], [-2.8277, 10.1717, 0.0000], [0.0000, 0.0000, 10.9665]],
  "species": ["La", "La", "Pr", "Pr", "Pr", "Pr", "Nd", "Nd", "Nd", "Nd", "Nd", "Nd", "Nd", "Nd", "Nd", "Nd", "Mg", "Mg"],
  "fractional_positions": [[0.7993, 0.5985, 0.5086], [0.2007, 0.4015, 0.0086], [0.8849, 0.7698, 0.7998], [0.1152, 0.2304, 0.7175], [0.1151, 0.2302, 0.2998], [0.8848, 0.7696, 0.2175], [0.3830, 0.7660, 0.0086], [0.7112, 0.4224, 0.8085], [0.4994, 0.9988, 0.7576], [0.2897, 0.5794, 0.7083], [0.9869, 0.9737, 0.5084], [0.6170, 0.2340, 0.5086], [0.2888, 0.5776, 0.3085], [0.5006, 0.0012, 0.2576], [0.7103, 0.4206, 0.2083], [0.0131, 0.0263, 0.0084], [0.5939, 0.1877, 0.0067], [0.4061, 0.8123, 0.5067]]
}

***

Record 3
{
  "formula": "Tm5CdRh4",
  "functional": "PBE",
  "state": "optimized geometry",
  "sg": "P4/mmm",
  "formation_enthalpy_0k_ev_per_atom": -0.85,
  "final_energy_ev_per_cell": -61.1,
  "cell": [[3.4125, 0.0000, 0.0000], [0.0000, 3.4125, 0.0000], [0.0000, 0.0000, 17.6765]],
  "species": ["Tm", "Tm", "Tm", "Tm", "Tm", "Cd", "Rh", "Rh", "Rh", "Rh"],
  "fractional_positions": [[0.5000, 0.5000, 0.1219], [0.5000, 0.5000, 0.3100], [0.5000, 0.5000, 0.5000], [0.5000, 0.5000, 0.6900], [0.5000, 0.5000, 0.8781], [0.0000, 0.0000, 0.0000], [0.0000, 0.0000, 0.2128], [0.0000, 0.0000, 0.4050], [0.0000, 0.0000, 0.5950], [0.0000, 0.0000, 0.7872]]
}